# Cs2TlTcOs, optimized geometry, DFT PBE-GGA
# Energy relative to the elements = 2.017 eV per atom
data_Cs2TlTcOs
_symmetry_space_group_name_H-M 'P 4/m m m'
_symmetry_Int_Tables_number 123
_symmetry_space_group_name_Hall '-P 4 2'
_cell_length_a 5.843
_cell_length_b 5.843
_cell_length_c 5.395
_cell_angle_alpha 90.00
_cell_angle_beta 90.00
_cell_angle_gamma 90.00
loop_
_atom_site_label
_atom_site_fract_x
_atom_site_fract_y
_atom_site_fract_z
Cs1 0.000 0.500 0.000
Tl1 0.000 0.000 0.500
Tc1 0.000 0.000 0.000
Os1 0.500 0.500 0.500